{
  "formula": "Tl4Pd3Cl10",
  "functional": "SCAN",
  "state": "single point on PBEsol structure",
  "volume_a3_per_fu": 424,
  "e_form_raw_mev_per_atom": -859,
  "density_g_cm3": 5.834,
  "spacegroup": "I-42d, No. 122",
  "lattice": [[-7.449, -7.766, 7.412], [12.670, -3.097, -0.796], [-0.491, 11.831, 5.526]],
  "species": ["Pd", "Pd", "Cl", "Tl", "Tl", "Cl", "Cl", "Cl", "Cl", "Tl", "Cl", "Tl", "Pd", "Cl", "Cl", "Cl", "Pd", "Tl", "Cl", "Cl", "Cl", "Cl", "Cl", "Pd", "Cl", "Cl", "Tl", "Cl", "Tl", "Tl", "Cl", "Pd", "Cl", "Cl", "Cl", "Tl", "Cl", "Cl", "Tl", "Tl", "Tl", "Cl", "Cl", "Cl", "Cl", "Cl", "Cl", "Pd", "Pd", "Tl", "Cl", "Cl", "Tl", "Cl", "Pd", "Cl", "Cl", "Tl", "Cl", "Cl", "Cl", "Pd", "Tl", "Cl", "Pd", "Cl", "Cl", "Pd"],
  "fractional_positions": [[0.621, 0.243, 0.592], [0.493, 0.371, 0.092], [0.120, 0.404, 0.553], [0.310, 0.112, 0.711], [0.849, 0.638, 0.698], [0.090, 0.599, 0.731], [0.401, 0.132, 0.491], [0.142, 0.597, 0.247], [0.373, 0.875, 0.998], [0.384, 0.884, 0.500], [0.870, 0.158, 0.528], [0.368, 0.375, 0.493], [0.757, 0.350, 0.378], [0.125, 0.832, 0.207], [0.868, 0.359, 0.269], [0.630, 0.342, 0.472], [0.125, 0.978, 0.353], [0.116, 0.616, 0.500], [0.408, 0.620, 0.028], [0.403, 0.650, 0.546], [0.609, 0.618, 0.769], [0.592, 0.380, 0.972], [0.130, 0.183, 0.784], [0.629, 0.722, 0.122], [0.877, 0.375, 0.002], [0.082, 0.875, 0.707], [0.625, 0.118, 0.993], [0.382, 0.151, 0.991], [0.940, 0.150, 0.302], [0.888, 0.599, 0.198], [0.641, 0.910, 0.509], [0.600, 0.507, 0.878], [0.145, 0.100, 0.253], [0.900, 0.153, 0.046], [0.108, 0.855, 0.954], [0.125, 0.632, 0.007], [0.596, 0.149, 0.716], [0.849, 0.840, 0.231], [0.134, 0.134, 0.000], [0.850, 0.151, 0.789], [0.866, 0.866, 0.000], [0.105, 0.858, 0.454], [0.625, 0.627, 0.502], [0.851, 0.567, 0.447], [0.160, 0.391, 0.009], [0.125, 0.123, 0.498], [0.654, 0.870, 0.053], [0.022, 0.375, 0.147], [0.650, 0.028, 0.408], [0.882, 0.875, 0.507], [0.620, 0.592, 0.212], [0.625, 0.918, 0.793], [0.362, 0.060, 0.211], [0.399, 0.346, 0.216], [0.278, 0.400, 0.908], [0.842, 0.370, 0.712], [0.380, 0.408, 0.788], [0.400, 0.690, 0.802], [0.350, 0.895, 0.753], [0.168, 0.375, 0.293], [0.433, 0.880, 0.284], [0.228, 0.875, 0.853], [0.401, 0.600, 0.289], [0.658, 0.130, 0.288], [0.972, 0.379, 0.622], [0.817, 0.601, 0.947], [0.847, 0.892, 0.747], [0.625, 0.772, 0.647]]
}